Computed, not measured: FeRhN2O after structural relaxation at the PBE+U level of DFT.

symmetry = P4/mmm, No. 123
size of the total moment = 2.11 μB per formula unit
V = 10.7 A^3/atom
VASP energy = -0.422 Ry per atom

extended XYZ file:
```
5
Lattice="3.803 0.000 0.000 0.000 3.803 0.000 0.000 0.000 3.684" Properties=species:S:1:pos:R:3 pbc="T T T"
Fe 0.000 0.000 0.000
Rh 1.902 1.902 1.842
N 0.000 1.902 0.000
N 1.902 0.000 0.000
O 0.000 0.000 1.842
```